# 1
Ac6OsPb3 PBE optimized geometry; energy = -0.3681 Ry per atom; energy relative to the elements = -3.1 eV per formula unit; space group = No. 14
1.0
7.060 0.000 0.150
0.000 9.381 0.000
0.266 0.000 11.758
Ac Os Pb
12 2 6
Cartesian
4.579 4.227 3.233
4.514 1.911 6.723
6.476 6.602 11.139
2.747 5.154 8.675
1.182 0.463 9.037
6.169 6.122 6.715
2.506 7.949 0.761
1.157 3.259 5.194
2.813 7.469 5.185
4.821 1.432 11.148
0.851 2.779 0.769
6.144 8.917 2.871
3.663 4.690 5.954
0.000 0.000 0.000
2.990 1.057 3.162
3.530 4.690 0.075
6.654 3.634 9.116
0.673 5.747 2.793
0.133 0.000 5.879
4.336 8.324 8.747

=====

# 2
AcTb2PmPr6 PBE optimized geometry; energy = -0.3355 Ry per atom; energy relative to the elements = 1.1 eV per formula unit; space group = No. 15
1.0
9.430 -2.191 -2.274
0.966 8.834 -2.088
0.966 -2.414 8.751
Pr Tb Pm Ac
12 4 2 2
Cartesian
4.379 6.944 1.099
9.081 -0.551 1.823
6.983 -2.714 3.291
6.060 5.137 -1.803
10.017 5.127 -1.814
9.094 -0.255 5.843
4.367 2.938 0.653
2.281 4.781 2.566
1.345 -0.897 6.204
5.302 -0.908 6.193
2.268 4.484 -1.454
6.995 1.292 3.736
5.643 -0.178 1.020
5.719 4.407 3.370
0.928 2.121 0.997
10.434 2.109 3.392
3.324 1.641 3.748
8.038 2.589 0.642
8.038 -3.744 6.744
3.324 7.973 -2.354

=====

# 3
Pa2CoSb PBE optimized geometry; relative energy among the computed polymorphs = 0.0746 eV/atom; energy = -0.5803 Ry per atom; space group = No. 166
1.0
3.943 0.000 0.000
1.972 3.415 0.000
1.972 1.138 7.234
Sb Pa Co
1 2 1
Cartesian
0.000 0.000 0.000
5.915 3.415 5.041
1.972 1.138 2.193
3.943 2.277 3.617

=====

# 4
PaRhAu4 PBE optimized geometry; energy = -0.3920 Ry per atom; energy relative to the elements = -2.0 eV per formula unit; space group = No. 8
1.0
5.188 -0.028 1.126
-2.786 4.378 1.116
0.164 0.310 5.300
Au Rh Pa
4 1 1
Cartesian
1.194 0.778 3.108
2.527 2.920 1.846
1.182 3.623 4.228
-0.113 1.541 0.723
3.848 2.307 4.475
2.862 0.526 5.647

=====

# 5
TbScTl PBE optimized geometry; relative energy among the computed polymorphs = 0.0684 eV/atom; energy = -0.3415 Ry per atom; energy relative to the elements = -0.6 eV per formula unit; space group = No. 107
1.0
3.476 0.000 0.000
0.000 3.476 0.000
-1.738 -1.738 6.618
Sc Tl Tb
1 1 1
Cartesian
1.738 1.738 1.412
1.738 1.738 6.057
0.000 0.000 3.782

=====

# 6
Np6Mn3S14 PBE optimized geometry; energy = -0.6042 Ry per atom; space group = No. 143
1.0
5.837 0.000 0.000
0.000 8.339 -4.814
0.000 0.000 9.629
S Mn Np
14 3 6
Cartesian
2.630 0.000 0.000
5.801 0.836 1.980
4.076 6.758 1.661
5.801 6.206 4.548
4.076 6.398 -1.869
1.302 7.591 -0.226
1.302 4.348 -1.646
2.910 1.963 2.888
5.632 2.780 4.815
4.076 3.522 0.208
5.801 1.297 7.915
1.302 4.740 1.872
2.910 4.857 5.070
2.910 1.520 6.485
2.712 5.559 0.000
4.924 0.000 0.000
2.046 2.780 4.815
1.458 6.790 -2.910
4.434 0.323 4.428
1.458 7.464 2.521
1.458 2.424 0.389
4.434 4.343 2.880
4.434 3.673 7.136

=====

# 7
CaCePm PBE optimized geometry; relative energy among the computed polymorphs = 0.0706 eV/atom; energy = -0.3008 Ry per atom; energy relative to the elements = 0.4 eV per formula unit; space group = No. 156
1.0
-0.754 2.853 -2.116
-2.529 -2.536 0.597
-2.940 4.656 7.325
Ce Ca Pm
1 1 1
Cartesian
-3.863 2.310 4.491
-2.933 4.646 7.309
-2.366 2.672 1.330

=====

# 8
Ce5Eu PBE optimized geometry; energy = -0.4785 Ry per atom; energy relative to the elements = 0.9 eV per formula unit; space group = No. 65
1.0
4.814 0.000 0.000
0.000 4.811 0.000
0.000 -2.405 7.240
Ce Eu
5 1
Cartesian
2.407 0.000 2.463
2.407 2.405 4.777
2.407 2.405 0.000
0.000 2.405 2.486
0.000 0.000 4.754
0.000 0.000 0.000

=====

# 9
AlCoTe2 PBE optimized geometry; energy = -0.3216 Ry per atom; space group = No. 10
1.0
3.777 0.000 0.000
0.000 7.347 0.124
0.000 4.826 3.983
Te Co Al
2 1 1
Cartesian
0.000 10.745 3.460
0.000 7.514 2.700
1.889 9.130 3.080
1.889 3.043 1.027

=====

# 10
PmPaSi2 PBE optimized geometry; relative energy among the computed polymorphs = 0.0000 eV/atom; energy = -0.4961 Ry per atom; space group = No. 62
1.0
-0.316 2.276 -3.191
-8.391 -0.437 0.520
-0.070 8.878 6.338
Pm Si Pa
4 8 4
Cartesian
-5.508 5.939 3.570
-7.449 2.543 -1.082
-3.269 4.778 0.097
-1.328 8.173 4.749
-2.148 2.204 -1.849
-2.408 5.485 2.939
-6.369 5.231 0.728
-6.629 8.513 5.516
-7.442 8.596 3.234
-5.540 3.108 1.554
-1.335 2.121 0.433
-3.237 7.608 2.113
-4.175 1.110 -0.006
-0.383 6.894 1.321
-4.602 9.606 3.673
-8.394 3.822 2.346

=====

# 11
Cd7Ga2 PBE optimized geometry; energy = -0.0999 Ry per atom; energy relative to the elements = 0.2 eV per formula unit; space group = No. 162
1.0
-1.990 4.091 2.875
-1.029 -5.074 1.470
6.435 -0.011 4.469
Ga Cd
2 7
Cartesian
-1.670 1.036 2.407
-1.350 -2.019 1.938
3.656 1.354 3.956
0.789 2.726 3.389
1.430 -3.389 2.451
1.112 -0.330 2.916
2.304 -0.663 5.899
0.000 0.000 0.000
3.976 -1.695 3.489

=====

# 12
TlTcN2 PBE optimized geometry; relative energy among the computed polymorphs = 0.0000 eV/atom; energy = -0.5245 Ry per atom; space group = No. 122
1.0
-1.372 -1.734 -5.298
-2.900 -4.437 2.203
-5.828 -0.601 -1.404
Tc N Tl
2 4 2
Cartesian
-2.136 -3.086 -1.547
-5.432 -4.062 -0.374
-7.610 -5.087 -4.140
-2.441 -1.490 -2.475
-3.677 -3.439 -0.548
-6.472 -3.529 -1.834
-4.668 -2.710 -4.124
0.000 0.000 0.000

=====

# 13
LaTeP2 PBE optimized geometry; energy = -0.4040 Ry per atom; space group = No. 6
1.0
-3.359 -2.405 0.663
2.685 -3.651 0.361
1.800 -1.012 5.449
Te P La
1 2 1
Cartesian
2.273 -2.320 3.100
2.753 -3.598 0.896
-0.984 -1.961 1.101
2.012 -5.169 4.642

=====

# 14
Pu2ScGa PBE optimized geometry; relative energy among the computed polymorphs = 0.0000 eV/atom; energy = -0.7129 Ry per atom; energy relative to the elements = -0.8 eV per formula unit; space group = No. 123
1.0
4.868 0.000 0.000
0.000 4.276 0.000
0.000 0.000 4.276
Pu Ga Sc
2 1 1
Cartesian
0.000 0.000 2.138
0.000 2.138 0.000
2.434 2.138 2.138
2.434 0.000 0.000

=====

# 15
CaHo2Pb PBE optimized geometry; relative energy among the computed polymorphs = 0.0000 eV/atom; energy = -0.2899 Ry per atom; energy relative to the elements = -0.9 eV per formula unit; space group = No. 123
1.0
-2.354 -2.515 3.470
4.115 -2.496 0.982
1.266 3.393 3.318
Ho Ca Pb
2 1 1
Cartesian
0.633 1.696 1.659
2.057 -1.248 0.491
1.513 -0.809 3.885
-1.177 -1.258 1.735

=====

# 16
InTeSeN2 PBE optimized geometry; relative energy among the computed polymorphs = 0.2897 eV/atom; energy = -0.2806 Ry per atom; space group = No. 123
1.0
-0.880 -2.379 -3.519
-3.317 -1.859 2.086
-3.766 4.422 -2.048
N Te Se In
2 1 1 1
Cartesian
-0.440 -1.189 -1.759
-1.659 -0.930 1.043
-3.982 0.092 -1.740
-1.883 2.211 -1.024
0.000 0.000 0.000

=====

# 17
ScCdRu2 PBE optimized geometry; energy = -0.4768 Ry per atom; energy relative to the elements = -0.2 eV per formula unit; space group = No. 25
1.0
2.976 0.000 0.000
0.000 3.894 0.000
0.000 0.000 5.871
Ru Sc Cd
2 1 1
Cartesian
0.000 0.000 0.208
1.488 1.947 1.370
0.000 0.000 2.753
1.488 1.947 4.476

=====

# 18
K3La2ThS6 PBE optimized geometry; energy = -0.4124 Ry per atom; space group = No. 12
1.0
-2.866 -2.508 1.832
0.218 -5.396 -7.047
8.103 -1.895 5.204
S K La Th
6 3 2 1
Cartesian
5.329 -8.577 1.467
4.820 -7.051 -2.115
0.127 -1.224 -1.477
1.023 -5.396 -0.914
4.433 -4.404 0.903
0.636 -2.750 2.105
3.027 -4.245 3.798
2.428 -5.556 -3.808
-1.324 -3.952 -2.607
2.299 -2.863 -0.324
3.156 -6.937 0.313
-1.433 -1.254 0.916

=====

# 19
LiHBrCl PBE optimized geometry; relative energy among the computed polymorphs = 0.0258 eV/atom; energy = -0.2342 Ry per atom; space group = No. 8
1.0
-1.796 4.847 3.286
-0.876 -3.183 4.217
5.258 -0.212 0.931
H Li Br Cl
2 2 2 2
Cartesian
1.973 3.997 3.427
-1.093 2.512 5.070
4.082 -0.398 3.948
1.891 1.300 1.373
4.519 0.796 1.539
1.452 -0.690 3.182
3.275 1.611 5.297
1.084 3.309 2.723

=====

# 20
TcGeOsAu2 PBE optimized geometry; energy = -0.3800 Ry per atom; energy relative to the elements = 6.9 eV per formula unit; space group = No. 123
1.0
-5.079 -0.232 0.388
0.056 -4.238 -1.799
0.447 -1.980 4.678
Au Os Ge Tc
2 1 1 1
Cartesian
0.224 -0.990 2.339
-2.540 -0.116 0.194
0.000 0.000 0.000
-2.288 -3.225 1.633
0.028 -2.119 -0.900